Entry 1:
Material: BaCdF
Method: DFT, PBE-GGA
State: optimized geometry

Results
- ΔE_f (raw): -1.72 eV/atom

Unit cell a=5.9151 b=4.4672 c=7.7514 alpha=90.00 beta=90.00 gamma=90.00
Space group Amm2 (No. 38)
Inequivalent atoms, fractional coordinates:
Ba 0.0000 0.0000 0.0000 [2 per cell]
Cd 0.5000 0.0000 0.3361 [2 per cell]
F 0.0000 0.0000 0.3327 [2 per cell]

Entry 2:
Material: ScTaTl
Method: DFT, PBE-GGA
State: optimized geometry

Results
- ΔE to the lowest computed polymorph: 0.037 eV/atom
- Energy of formation from the pure elements: 173 meV per atom

Unit cell a=3.1975 b=3.1975 c=7.3898 alpha=90.00 beta=90.00 gamma=120.00
Space group P3m1 (No. 156)
Inequivalent atoms, fractional coordinates:
Sc 0.0000 0.0000 0.0000 [1 per cell]
Ta 0.3333 0.6667 0.3134 [1 per cell]
Tl 0.6667 0.3333 0.6504 [1 per cell]

Entry 3:
Material: K3SnSe
Method: DFT, PBE-GGA
State: optimized geometry

Results
- ΔE to the lowest computed polymorph: 0.000 eV/atom
- ΔE_f (raw): -0.39 eV/atom

Unit cell a=6.2837 b=6.2837 c=6.2837 alpha=90.00 beta=90.00 gamma=90.00
Space group Pm-3m (No. 221)
Inequivalent atoms, fractional coordinates:
K 0.0000 0.0000 0.5000 [3 per cell]
Sn 0.5000 0.5000 0.5000 [1 per cell]
Se 0.0000 0.0000 0.0000 [1 per cell]

Entry 4:
Material: YGePt4
Method: DFT, PBE-GGA
State: optimized geometry

Results
- ΔE to the lowest computed polymorph: 0.127 eV/atom
- Energy of formation from the pure elements: -638 meV per atom

Unit cell a=7.6027 b=7.6027 c=7.6027 alpha=90.00 beta=90.00 gamma=90.00
Space group F-43m (No. 216)
Inequivalent atoms, fractional coordinates:
Y 0.0000 0.0000 0.0000 [4 per cell]
Ge 0.2500 0.2500 0.7500 [4 per cell]
Pt 0.1248 0.1248 0.3752 [16 per cell]

Number 1: DOS(E_F) 0.546 states/eV/atom. Number 2: DOS(E_F) 0.554 states/eV/atom. Number 3: DOS(E_F) 0.000 states/eV/atom. Number 4: DOS(E_F) 0.778 states/eV/atom.